VASP calculation (PBE) on NdDy2Te after structural relaxation.

The density of states at the Fermi level comes out at 1.32 states/eV per atom. The crystal system is tetragonal. The spin magnetization comes out at 0.000 μB per cell. For the uncorrected formation energy, the calculation gives -0.5539 eV per atom. The calculation puts the offset from the most stable computed form at 0.437 eV per formula unit.

It has space group P4/mmm (No. 123), with a = 3.8721 Å, b = 3.8721 Å, c = 8.0270 Å, α = 90.00°, β = 90.00° and γ = 90.00°. The asymmetric unit holds Nd at (0.0000, 0.0000, 0.0000), Dy at (0.5000, 0.5000, 0.2812) and Te at (0.0000, 0.0000, 0.5000).



VASP calculation (PBE) on NdDy4Te6 after structural relaxation.

The density of states at the Fermi level comes out at 0.34 states/eV per atom. The crystal system is orthorhombic. The spin magnetization comes out at 0.000 μB per cell. For the uncorrected formation energy, the calculation gives -1.3726 eV per atom.

It has space group Cmcm (No. 63), with a = 4.2965 Å, b = 14.2948 Å, c = 22.3089 Å, α = 90.00°, β = 90.00° and γ = 90.00°. The asymmetric unit holds Nd at (0.0000, 0.1540, 0.2500), Dy at (0.0000, 0.0887, 0.6248), Dy at (0.0000, 0.3565, 0.5353), Te at (0.0000, 0.0000, 0.0000), Te at (0.0000, 0.1813, 0.7500), Te at (0.0000, 0.2664, 0.0930) and Te at (0.0000, 0.4470, 0.6632).



VASP calculation (PBE) on NdDyTe after structural relaxation.

The density of states at the Fermi level comes out at 0.91 states/eV per atom. The crystal system is tetragonal. The spin magnetization comes out at 0.000 μB per cell. For the uncorrected formation energy, the calculation gives -0.7790 eV per atom. The calculation puts the offset from the most stable computed form at 0.000 eV per formula unit.

It has space group I4mm (No. 107), with a = 3.9346 Å, b = 3.9346 Å, c = 11.7822 Å, α = 90.00°, β = 90.00° and γ = 90.00°. The asymmetric unit holds Nd at (0.0000, 0.0000, 0.0000), Dy at (0.0000, 0.0000, 0.3083) and Te at (0.0000, 0.0000, 0.6673).



VASP calculation (PBE) on Nd3Dy2Te3 after structural relaxation.

The density of states at the Fermi level comes out at 1.05 states/eV per atom. The crystal system is orthorhombic. The spin magnetization comes out at 0.002 μB per cell. For the uncorrected formation energy, the calculation gives -0.9468 eV per atom.

It has space group Cmcm (No. 63), with a = 4.0879 Å, b = 15.6640 Å, c = 15.2890 Å, α = 90.00°, β = 90.00° and γ = 90.00°. The asymmetric unit holds Nd at (0.0000, 0.0390, 0.1135), Nd at (0.0000, 0.3985, 0.2500), Dy at (0.0000, 0.2416, 0.6081), Te at (0.0000, 0.3835, 0.7500) and Te at (0.0000, 0.3896, 0.0372).



VASP calculation (PBE) on Nd2DyTe3 after structural relaxation.

The density of states at the Fermi level comes out at 0.50 states/eV per atom. The crystal system is orthorhombic. The spin magnetization comes out at 0.000 μB per cell. For the uncorrected formation energy, the calculation gives -1.3749 eV per atom.

It has space group Immm (No. 71), with a = 4.4596 Å, b = 6.2739 Å, c = 13.3739 Å, α = 90.00°, β = 90.00° and γ = 90.00°. The asymmetric unit holds Nd at (0.0000, 0.0000, 0.1738), Dy at (0.0000, 0.0000, 0.5000), Te at (0.0000, 0.5000, 0.1580) and Te at (0.0000, 0.5000, 0.5000).



VASP calculation (PBE) on NdDy2Te after structural relaxation.

The density of states at the Fermi level comes out at 1.32 states/eV per atom. The crystal system is orthorhombic. The spin magnetization comes out at 0.002 μB per cell. For the uncorrected formation energy, the calculation gives -0.6631 eV per atom. The calculation puts the offset from the most stable computed form at 0.000 eV per formula unit.

It has space group Cmcm (No. 63), with a = 3.9901 Å, b = 12.2411 Å, c = 9.9306 Å, α = 90.00°, β = 90.00° and γ = 90.00°. The asymmetric unit holds Nd at (0.0000, 0.0550, 0.2500), Dy at (0.0000, 0.3637, 0.0348) and Te at (0.0000, 0.2313, 0.7500).



VASP calculation (PBE) on NdDy2Te after structural relaxation.

The density of states at the Fermi level comes out at 1.42 states/eV per atom. The crystal system is trigonal. The spin magnetization comes out at 3.177 μB per cell. For the uncorrected formation energy, the calculation gives -0.2504 eV per atom. The calculation puts the offset from the most stable computed form at 1.651 eV per formula unit.

It has space group R-3m (No. 166, hexagonal axes), with a = 3.8364 Å, b = 3.8364 Å, c = 32.4957 Å, α = 90.00°, β = 90.00° and γ = 120.00°. The asymmetric unit holds Nd at (0.0000, 0.0000, 0.0000), Dy at (0.0000, 0.0000, 0.1036) and Te at (0.0000, 0.0000, 0.5000).



VASP calculation (PBE) on NdDyTe2 after structural relaxation.

The density of states at the Fermi level comes out at 0.87 states/eV per atom. The crystal system is cubic. The spin magnetization comes out at 2.857 μB per cell. For the uncorrected formation energy, the calculation gives -1.2314 eV per atom. The calculation puts the offset from the most stable computed form at 0.595 eV per formula unit.

It has space group Fm-3m (No. 225), with a = 7.6594 Å, b = 7.6594 Å, c = 7.6594 Å, α = 90.00°, β = 90.00° and γ = 90.00°. The asymmetric unit holds Nd at (0.0000, 0.0000, 0.0000), Dy at (0.0000, 0.0000, 0.5000) and Te at (0.2500, 0.2500, 0.2500).



VASP calculation (PBE) on NdDy3Te2 after structural relaxation.

The density of states at the Fermi level comes out at 0.77 states/eV per atom. The crystal system is monoclinic. The spin magnetization comes out at 0.000 μB per cell. For the uncorrected formation energy, the calculation gives -0.8523 eV per atom.

It has space group C2/m (No. 12), with a = 16.5707 Å, b = 4.1428 Å, c = 11.4015 Å, α = 90.00°, β = 109.46° and γ = 90.00°. The asymmetric unit holds Nd at (0.1189, 0.0000, 0.0419), Dy at (0.0610, 0.0000, 0.4053), Dy at (0.1224, 0.5000, 0.6687), Dy at (0.2170, 0.5000, 0.3770), Te at (0.0176, 0.5000, 0.1725) and Te at (0.2298, 0.0000, 0.8564).



VASP calculation (PBE) on Nd5DyTe4 after structural relaxation.

The density of states at the Fermi level comes out at 0.85 states/eV per atom. The crystal system is monoclinic. The spin magnetization comes out at 0.001 μB per cell. For the uncorrected formation energy, the calculation gives -1.0004 eV per atom.

It has space group C2/m (No. 12), with a = 18.7669 Å, b = 4.2930 Å, c = 8.6881 Å, α = 90.00°, β = 101.90° and γ = 90.00°. The asymmetric unit holds Nd at (0.0000, 0.0000, 0.0000), Nd at (0.1667, 0.5000, 0.3055), Nd at (0.1831, 0.5000, 0.8573), Dy at (0.0000, 0.0000, 0.5000), Te at (0.0077, 0.5000, 0.7469) and Te at (0.1645, 0.0000, 0.5742).



VASP calculation (PBE) on NdDy5Te6 after structural relaxation.

The density of states at the Fermi level comes out at 0.44 states/eV per atom. The crystal system is monoclinic. The spin magnetization comes out at 0.000 μB per cell. For the uncorrected formation energy, the calculation gives -1.3050 eV per atom.

It has space group C2/m (No. 12), with a = 7.5888 Å, b = 13.1453 Å, c = 7.5623 Å, α = 90.00°, β = 109.42° and γ = 90.00°. The asymmetric unit holds Nd at (0.0000, 0.0000, 0.0000), Dy at (0.0000, 0.1562, 0.5000), Dy at (0.0000, 0.3338, 0.0000), Dy at (0.0000, 0.5000, 0.5000), Te at (0.2395, 0.5000, 0.2477) and Te at (0.2429, 0.3281, 0.7428).



VASP calculation (PBE) on NdDy3Te6 after structural relaxation.

The density of states at the Fermi level comes out at 0.00 states/eV per atom. The crystal system is monoclinic. The spin magnetization comes out at 0.000 μB per cell. For the uncorrected formation energy, the calculation gives -1.4052 eV per atom.

It has space group P2_1/m (No. 11), with a = 12.5084 Å, b = 4.3905 Å, c = 12.8612 Å, α = 90.00°, β = 109.31° and γ = 90.00°. The asymmetric unit holds Nd at (0.0465, 0.2500, 0.1968), Dy at (0.1556, 0.2500, 0.5820), Dy at (0.3177, 0.7500, 0.9983), Dy at (0.4347, 0.2500, 0.3344), Te at (0.0850, 0.7500, 0.4028), Te at (0.1152, 0.2500, 0.9679), Te at (0.1951, 0.7500, 0.7503), Te at (0.2570, 0.7500, 0.2222), Te at (0.3919, 0.2500, 0.5601) and Te at (0.4834, 0.2500, 0.1172).